(1)
Compound: BaHf4S8
Source: the Alexandria database
Functional: PBE
Structure: relaxed

Computed properties:
Total energy   -7.26 eV per atom
Formation energy without anion corrections   -1.51 eV per atom
DOS at the Fermi energy   6.94 states/eV/f.u.
ΔE to the lowest computed polymorph   200 meV per atom
Size of the total moment   0.0 μB per cell
Theoretical density   5.49 g/cm3

Unit cell a=7.7972 b=7.7972 c=7.7972 alpha=60.00 beta=60.00 gamma=60.00
With the nearest neighbours (Å) after each atom.
Element x y z (fractional)
Ba: 0.0000 0.0000 0.0000  4 S 2.82
Hf: 0.1451 0.6183 0.6183  6 S 2.57-2.62
Hf: 0.6183 0.1451 0.6183  6 S 2.57-2.62
Hf: 0.6183 0.6183 0.1451  6 S 2.57-2.62
Hf: 0.6183 0.6183 0.6183  6 S 2.57-2.62
S: 0.3855 0.3855 0.3855  3 Hf 2.57
S: 0.3855 0.3855 0.8435  3 Hf 2.57
S: 0.3855 0.8435 0.3855  3 Hf 2.57
S: 0.4425 0.8525 0.8525  3 Hf 2.62, 1 Ba 2.82
S: 0.8435 0.3855 0.3855  3 Hf 2.57
S: 0.8525 0.4425 0.8525  3 Hf 2.62, 1 Ba 2.82
S: 0.8525 0.8525 0.4425  3 Hf 2.62, 1 Ba 2.82
S: 0.8525 0.8525 0.8525  3 Hf 2.62, 1 Ba 2.82



(2)
Compound: Ba2HfSbS6
Source: the Alexandria database
Functional: PBE
Structure: relaxed

Computed properties:
Total energy   -5.59 eV per atom
Formation energy without anion corrections   -1.32 eV per atom
DOS at the Fermi energy   0.14 states/eV/f.u.
Size of the total moment   0.0 μB per cell
Theoretical density   4.68 g/cm3

Unit cell a=13.0291 b=13.0291 c=13.0291 alpha=31.77 beta=31.77 gamma=31.77
With the nearest neighbours (Å) after each atom.
Element x y z (fractional)
Ba: 0.1182 0.1182 0.1182  9 S 3.48-3.58
Ba: 0.3038 0.3038 0.3038  9 S 3.37-3.60
Ba: 0.6962 0.6962 0.6962  9 S 3.37-3.60
Ba: 0.8818 0.8818 0.8818  9 S 3.48-3.58
Hf: 0.4150 0.4150 0.4150  6 S 2.48-2.60
Hf: 0.5850 0.5850 0.5850  6 S 2.48-2.60
Sb: 0.0000 0.0000 0.0000  6 S 2.64
Sb: 0.5000 0.5000 0.5000  6 S 2.52
S: 0.1326 0.6226 0.6226  1 Sb 2.52, 1 Hf 2.60
S: 0.2127 0.2127 0.7043  1 Hf 2.48, 1 Sb 2.64
S: 0.2127 0.7043 0.2127  1 Hf 2.48, 1 Sb 2.64
S: 0.2957 0.7873 0.7873  1 Hf 2.48, 1 Sb 2.64
S: 0.3774 0.3774 0.8674  1 Sb 2.52, 1 Hf 2.60
S: 0.3774 0.8674 0.3774  1 Sb 2.52, 1 Hf 2.60
S: 0.6226 0.1326 0.6226  1 Sb 2.52, 1 Hf 2.60
S: 0.6226 0.6226 0.1326  1 Sb 2.52, 1 Hf 2.60
S: 0.7043 0.2127 0.2127  1 Hf 2.48, 1 Sb 2.64
S: 0.7873 0.2957 0.7873  1 Hf 2.48, 1 Sb 2.64
S: 0.7873 0.7873 0.2957  1 Hf 2.48, 1 Sb 2.64
S: 0.8674 0.3774 0.3774  1 Sb 2.52, 1 Hf 2.60



(3)
Compound: Ba2HfScS6
Source: the Alexandria database
Functional: PBE
Structure: relaxed

Computed properties:
Total energy   -6.25 eV per atom
Formation energy without anion corrections   -1.76 eV per atom
DOS at the Fermi energy   5.51 states/eV/f.u.
Size of the total moment   0.0 μB per cell
Theoretical density   4.54 g/cm3

Unit cell a=7.0969 b=10.0334 c=7.0967 alpha=90.00 beta=90.00 gamma=90.00
With the nearest neighbours (Å) after each atom.
Element x y z (fractional)
Ba: 0.2500 0.9997 0.2500  12 S 3.54-3.55
Ba: 0.2500 0.5003 0.2500  12 S 3.54-3.55
Ba: 0.7500 0.0003 0.7500  12 S 3.54-3.55
Ba: 0.7500 0.4997 0.7500  12 S 3.54-3.55
Hf: 0.2500 0.2500 0.7505  6 S 2.50
Hf: 0.7500 0.7500 0.2495  6 S 2.50
Sc: 0.2500 0.7500 0.7495  6 S 2.52
Sc: 0.7500 0.2500 0.2505  6 S 2.52
S: 0.0012 0.2500 0.9998  1 Hf 2.50, 1 Sc 2.52
S: 0.0007 0.2500 0.5017  1 Hf 2.50, 1 Sc 2.52
S: 0.2500 0.0009 0.7496  1 Hf 2.50, 1 Sc 2.52
S: 0.2500 0.4991 0.7496  1 Hf 2.50, 1 Sc 2.52
S: 0.4988 0.2500 0.9998  1 Hf 2.50, 1 Sc 2.52
S: 0.4993 0.2500 0.5017  1 Hf 2.50, 1 Sc 2.52
S: 0.5012 0.7500 0.0002  1 Hf 2.50, 1 Sc 2.52
S: 0.5007 0.7500 0.4983  1 Hf 2.50, 1 Sc 2.52
S: 0.7500 0.5009 0.2504  1 Hf 2.50, 1 Sc 2.52
S: 0.7500 0.9991 0.2504  1 Hf 2.50, 1 Sc 2.52
S: 0.9988 0.7500 0.0002  1 Hf 2.50, 1 Sc 2.52
S: 0.9993 0.7500 0.4983  1 Hf 2.50, 1 Sc 2.52



(4)
Compound: BaHfSeS2
Source: the Alexandria database
Functional: PBE
Structure: relaxed

Computed properties:
Total energy   -6.46 eV per atom
Formation energy without anion corrections   -1.73 eV per atom
Size of the total moment   0.0 μB per cell
Theoretical density   5.77 g/cm3

Unit cell a=4.9979 b=4.9979 c=5.2897 alpha=90.00 beta=90.00 gamma=90.00
With the nearest neighbours (Å) after each atom.
Element x y z (fractional)
Ba: 0.0000 0.0000 0.0000  4 Se 3.53, 8 S 3.64
Hf: 0.5000 0.5000 0.5000  4 S 2.50, 2 Se 2.64
Se: 0.5000 0.5000 0.0000  2 Hf 2.64
S: 0.0000 0.5000 0.5000  2 Hf 2.50
S: 0.5000 0.0000 0.5000  2 Hf 2.50